(1)
Compound: Sr2HfAs
Source: OQMD
Functional: PBE-GGA
Structure: optimized geometry

a = 5.4002 Å, b = 5.4002 Å, c = 5.4002 Å
α = 60.00°, β = 60.00°, γ = 60.00°
Sites, in units of the cell vectors:
Sr 0.0000 0.0000 0.0000
Sr 0.2500 0.2500 0.2500
Hf 0.7500 0.7500 0.7500
As 0.5000 0.5000 0.5000

Symmetry   F-43m, No. 216
DFT total energy   -4.13 eV per atom


(2)
Compound: Rb2TcBr6
Source: OQMD
Functional: PBE-GGA
Structure: optimized geometry

a = 7.5585 Å, b = 7.5585 Å, c = 7.5585 Å
α = 120.58°, β = 120.58°, γ = 89.00°
Sites, in units of the cell vectors:
Rb 0.2500 0.7500 0.5000
Rb 0.7500 0.2500 0.5000
Tc 0.0000 0.0000 0.0000
Br 0.2187 0.7424 0.9610
Br 0.2354 0.2354 0.0000
Br 0.2576 0.2187 0.4763
Br 0.7424 0.7813 0.5237
Br 0.7647 0.7647 0.0000
Br 0.7813 0.2576 0.0390

Energy above the most stable polymorph in this dataset   0.8 meV/atom
Symmetry   I4/m, No. 87


no.,calculated volume (Å³/f.u.),theoretical density (g/cm³)
1,111.4,6.39
2,302.6,4.11